[1]
Density functional theory data (GGA-PBE) for crystalline NaNb2Sb2 at its relaxed geometry.

abc: 5.358 5.358 8.740
angles: 90.00 90.00 90.00
Space group I4/mmm (No. 139)
Symmetry-distinct sites (fractional):
Na (0.000, 0.000, 0.000) (multiplicity 2)
Nb (0.000, 0.000, 0.363) (multiplicity 4)
Sb (0.000, 0.500, 0.250) (multiplicity 4)

## Properties
- energy relative to the lowest polymorph listed for this composition (meV/atom) = 318.9
- V (Å³ per atom) = 25.09
- N(E_F) (states/eV/atom) = 0.826
- uncorrected formation energy (eV/atom) = 0.20


[2]
Density functional theory data (GGA-PBE) for crystalline NaNbSb2Te at its relaxed geometry.

abc: 5.452 5.452 5.459
angles: 90.00 90.00 90.00
Space group P4/mmm (No. 123)
Symmetry-distinct sites (fractional):
Na (0.000, 0.000, 0.000) (multiplicity 1)
Nb (0.500, 0.500, 0.500) (multiplicity 1)
Sb (0.000, 0.500, 0.500) (multiplicity 2)
Te (0.500, 0.500, 0.000) (multiplicity 1)

## Properties
- energy relative to the lowest polymorph listed for this composition (meV/atom) = 0.0
- V (Å³ per atom) = 32.45
- N(E_F) (states/eV/atom) = 0.634
- uncorrected formation energy (eV/atom) = 0.02


[3]
Density functional theory data (GGA-PBE) for crystalline NaNbSbTe2 at its relaxed geometry.

abc: 5.495 5.495 5.463
angles: 90.00 90.00 90.00
Space group P4/mmm (No. 123)
Symmetry-distinct sites (fractional):
Na (0.000, 0.000, 0.000) (multiplicity 1)
Nb (0.500, 0.500, 0.500) (multiplicity 1)
Sb (0.500, 0.500, 0.000) (multiplicity 1)
Te (0.000, 0.500, 0.500) (multiplicity 2)

## Properties
- energy relative to the lowest polymorph listed for this composition (meV/atom) = 0.0
- V (Å³ per atom) = 33.00
- N(E_F) (states/eV/atom) = 0.368
- uncorrected formation energy (eV/atom) = -0.09


[4]
Density functional theory data (GGA-PBE) for crystalline Na2NbSbW at its relaxed geometry.

abc: 5.360 5.360 5.152
angles: 90.00 90.00 90.00
Space group P4/mmm (No. 123)
Symmetry-distinct sites (fractional):
Na (0.000, 0.500, 0.000) (multiplicity 2)
Nb (0.000, 0.000, 0.500) (multiplicity 1)
Sb (0.500, 0.500, 0.500) (multiplicity 1)
W (0.500, 0.500, 0.000) (multiplicity 1)

## Properties
- V (Å³ per atom) = 29.60
- N(E_F) (states/eV/atom) = 1.426
- uncorrected formation energy (eV/atom) = 1.95


Question: The highest uncorrected formation energy belongs to which entry?
Answer: Na2NbSbW